A plane-wave DFT calculation with GGA-PBE was carried out for TbCe3Sm2Bi6 after structural relaxation.

Summary:
Total DFT energy (no corrections) (eV/atom): -5.448
Calculated density (g cm⁻³): 8.76
Total magnetization (μB per formula unit): 2.60
SG: C2/m (12)
Crystal system: monoclinic
Formation energy from the elements (eV/atom): -0.852

Lattice parameters (Å, degrees): 7.904 7.904 7.926 99.57 99.57 120.00
Element x y z (fractional)
Tb  0.000  0.000  0.000
Ce  0.168  0.832  0.500
Ce  0.500  0.500  0.500
Ce  0.832  0.168  0.500
Sm  0.334  0.666  0.000
Sm  0.666  0.334  0.000
Bi  0.082  0.413  0.247
Bi  0.248  0.248  0.752
Bi  0.413  0.082  0.247
Bi  0.587  0.918  0.753
Bi  0.752  0.752  0.248
Bi  0.918  0.587  0.753

---

A plane-wave DFT calculation with GGA-PBE was carried out for TbCeSm2Bi4 after structural relaxation.

Summary:
Total DFT energy (no corrections) (eV/atom): -5.322
Calculated density (g cm⁻³): 8.93
Total magnetization (μB per formula unit): 0.78
SG: P2/m (10)
Crystal system: monoclinic
Formation energy from the elements (eV/atom): -0.881

Lattice parameters (Å, degrees): 7.879 4.555 7.886 90.00 109.44 90.00
Element x y z (fractional)
Tb  0.000  0.000  0.000
Ce  0.500  0.500  0.000
Sm  0.000  0.500  0.500
Sm  0.500  0.000  0.500
Bi  0.247  0.500  0.247
Bi  0.248  0.000  0.751
Bi  0.752  0.000  0.249
Bi  0.753  0.500  0.753

---

A plane-wave DFT calculation with GGA-PBE was carried out for Tb3Ce2SmBi6 after structural relaxation.

Summary:
Total DFT energy (no corrections) (eV/atom): -5.339
Calculated density (g cm⁻³): 9.05
Total magnetization (μB per formula unit): 1.63
SG: C2/m (12)
Crystal system: monoclinic
Formation energy from the elements (eV/atom): -0.859

Lattice parameters (Å, degrees): 10.142 10.142 9.080 102.94 102.94 25.87
Element x y z (fractional)
Tb  0.000  0.000  0.000
Tb  0.334  0.334  0.666
Tb  0.666  0.666  0.334
Ce  0.334  0.334  0.168
Ce  0.666  0.666  0.832
Sm  0.000  0.000  0.500
Bi  0.166  0.166  0.086
Bi  0.168  0.168  0.580
Bi  0.499  0.499  0.752
Bi  0.501  0.501  0.248
Bi  0.832  0.832  0.420
Bi  0.834  0.834  0.914

---

Question: Among the records above, which one has the lowest total DFT energy (no corrections)?
Answer: TbCe3Sm2Bi6

---

Question: total DFT energy (no corrections) of number 3 (Tb3Ce2SmBi6)?
Answer: -5.339 eV/atom

---

Copy entry 2 word for word.
A plane-wave DFT calculation with GGA-PBE was carried out for TbCeSm2Bi4 after structural relaxation.

Summary:
Total DFT energy (no corrections) (eV/atom): -5.322
Calculated density (g cm⁻³): 8.93
Total magnetization (μB per formula unit): 0.78
SG: P2/m (10)
Crystal system: monoclinic
Formation energy from the elements (eV/atom): -0.881

Lattice parameters (Å, degrees): 7.879 4.555 7.886 90.00 109.44 90.00
Element x y z (fractional)
Tb  0.000  0.000  0.000
Ce  0.500  0.500  0.000
Sm  0.000  0.500  0.500
Sm  0.500  0.000  0.500
Bi  0.247  0.500  0.247
Bi  0.248  0.000  0.751
Bi  0.752  0.000  0.249
Bi  0.753  0.500  0.753